No. 1
# ZrCoGe3 | Alexandria via LeMat-Bulk | PBE | relaxed
# ΔE_f in meV per atom: 254
# Total DFT energy (no corrections) in eV per atom: -5.65
# Mass density in kg/m3: 6560
data_ZrCoGe3
_chemical_formula_sum 'Zr1 Co1 Ge3'
_space_group_name_H-M_alt 'P 1'
_space_group_IT_number 1
_cell_length_a 4.5333
_cell_length_b 4.5333
_cell_length_c 4.5333
_cell_angle_alpha 90.00
_cell_angle_beta 90.00
_cell_angle_gamma 90.00
loop_
_space_group_symop_operation_xyz
'x,y,z'
loop_
_atom_site_label
_atom_site_fract_x
_atom_site_fract_y
_atom_site_fract_z
Ge1 0.0000 0.5000 0.0000
Ge2 0.0000 0.0000 0.5000
Ge3 0.5000 0.0000 0.0000
Co1 0.0000 0.0000 0.0000
Zr1 0.5000 0.5000 0.5000

No. 2
# ZrCo5Ge3 | Alexandria via LeMat-Bulk | PBE | relaxed
# ΔE_f in meV per atom: -189
# Total DFT energy (no corrections) in eV per atom: -6.63
# Mass density in kg/m3: 7808
data_ZrCo5Ge3
_chemical_formula_sum 'Zr2 Co10 Ge6'
_space_group_name_H-M_alt 'P 1'
_space_group_IT_number 1
_cell_length_a 3.5832
_cell_length_b 6.4443
_cell_length_c 11.5782
_cell_angle_alpha 90.00
_cell_angle_beta 90.00
_cell_angle_gamma 106.14
loop_
_space_group_symop_operation_xyz
'x,y,z'
loop_
_atom_site_label
_atom_site_fract_x
_atom_site_fract_y
_atom_site_fract_z
Zr1 0.9034 0.8069 0.7500
Zr2 0.0966 0.1931 0.2500
Co1 0.8060 0.6121 0.4384
Co2 0.1940 0.3879 0.9384
Co3 0.0000 0.0000 0.5000
Co4 0.0000 0.0000 0.0000
Co5 0.4535 0.9071 0.1464
Co6 0.5465 0.0929 0.8536
Co7 0.5465 0.0929 0.6464
Co8 0.8060 0.6121 0.0616
Co9 0.1940 0.3879 0.5616
Co10 0.4535 0.9071 0.3536
Ge1 0.3785 0.7569 0.9526
Ge2 0.8630 0.7260 0.2500
Ge3 0.3785 0.7569 0.5474
Ge4 0.6215 0.2431 0.4526
Ge5 0.1370 0.2740 0.7500
Ge6 0.6215 0.2431 0.0474

No. 3
# Zr2CoGe | Alexandria via LeMat-Bulk | PBE | relaxed
# ΔE_f in meV per atom: 333
# Total DFT energy (no corrections) in eV per atom: -6.87
# Mass density in kg/m3: 6652
data_Zr2CoGe
_chemical_formula_sum 'Zr4 Co2 Ge2'
_space_group_name_H-M_alt 'P 1'
_space_group_IT_number 1
_cell_length_a 4.1203
_cell_length_b 4.1203
_cell_length_c 9.6842
_cell_angle_alpha 77.72
_cell_angle_beta 77.72
_cell_angle_gamma 90.00
loop_
_space_group_symop_operation_xyz
'x,y,z'
loop_
_atom_site_label
_atom_site_fract_x
_atom_site_fract_y
_atom_site_fract_z
Ge1 0.0000 0.0000 0.0000
Ge2 0.7500 0.2500 0.5000
Co1 0.5000 0.5000 0.0000
Co2 0.2500 0.7500 0.5000
Zr1 0.6291 0.1250 0.2500
Zr2 0.1209 0.6250 0.2500
Zr3 0.3750 0.3709 0.7500
Zr4 0.8750 0.8791 0.7500

No. 4
# ZrCoGe | Alexandria via LeMat-Bulk | PBE | relaxed
# ΔE_f in meV per atom: -685
# Total DFT energy (no corrections) in eV per atom: -7.44
# Mass density in kg/m3: 7868
data_ZrCoGe
_chemical_formula_sum 'Zr6 Co6 Ge6'
_space_group_name_H-M_alt 'P 1'
_space_group_IT_number 1
_cell_length_a 3.9018
_cell_length_b 6.4953
_cell_length_c 11.1322
_cell_angle_alpha 90.44
_cell_angle_beta 90.00
_cell_angle_gamma 90.00
loop_
_space_group_symop_operation_xyz
'x,y,z'
loop_
_atom_site_label
_atom_site_fract_x
_atom_site_fract_y
_atom_site_fract_z
Zr1 0.7500 0.5084 0.3699
Zr2 0.2500 0.9946 0.6973
Zr3 0.7500 0.0054 0.3027
Zr4 0.7500 0.6697 0.0717
Zr5 0.2500 0.4916 0.6301
Zr6 0.2500 0.3303 0.9283
Co1 0.2500 0.9903 0.0891
Co2 0.2500 0.8526 0.4572
Co3 0.7500 0.6551 0.7907
Co4 0.7500 0.1474 0.5428
Co5 0.2500 0.3449 0.2093
Co6 0.7500 0.0097 0.9109
Ge1 0.2500 0.7737 0.9056
Ge2 0.7500 0.2790 0.7533
Ge3 0.7500 0.7759 0.5710
Ge4 0.7500 0.2263 0.0944
Ge5 0.2500 0.2241 0.4290
Ge6 0.2500 0.7210 0.2467

No. 5
# Zr2Co5Ge3 | Alexandria via LeMat-Bulk | PBE | relaxed
# ΔE_f in meV per atom: -413
# Total DFT energy (no corrections) in eV per atom: -7.06
# Mass density in kg/m3: 8223
data_Zr2Co5Ge3
_chemical_formula_sum 'Zr4 Co10 Ge6'
_space_group_name_H-M_alt 'P 1'
_space_group_IT_number 1
_cell_length_a 3.9020
_cell_length_b 6.2762
_cell_length_c 11.6266
_cell_angle_alpha 90.00
_cell_angle_beta 99.66
_cell_angle_gamma 90.00
loop_
_space_group_symop_operation_xyz
'x,y,z'
loop_
_atom_site_label
_atom_site_fract_x
_atom_site_fract_y
_atom_site_fract_z
Zr1 0.4841 0.7525 0.9681
Zr2 0.1754 0.7369 0.3507
Zr3 0.8246 0.2369 0.6493
Zr4 0.5159 0.2525 0.0319
Co1 0.3968 0.3968 0.7936
Co2 0.2968 0.5283 0.5936
Co3 0.7032 0.0283 0.4064
Co4 0.1270 0.2376 0.2540
Co5 0.2884 0.9244 0.5769
Co6 0.9443 0.0903 0.8885
Co7 0.7116 0.4244 0.4231
Co8 0.8730 0.7376 0.7460
Co9 0.0557 0.5903 0.1115
Co10 0.6032 0.8968 0.2064
Ge1 0.7694 0.7299 0.5388
Ge2 0.6125 0.4990 0.2250
Ge3 0.0499 0.9690 0.0999
Ge4 0.2306 0.2299 0.4612
Ge5 0.9501 0.4690 0.9001
Ge6 0.3875 0.9990 0.7750

No. 6
# Zr3Co6Ge5 | Alexandria via LeMat-Bulk | PBE | relaxed
# ΔE_f in meV per atom: -531
# Total DFT energy (no corrections) in eV per atom: -7.06
# Mass density in kg/m3: 8099
data_Zr3Co6Ge5
_chemical_formula_sum 'Zr6 Co12 Ge10'
_space_group_name_H-M_alt 'P 1'
_space_group_IT_number 1
_cell_length_a 3.8438
_cell_length_b 8.9244
_cell_length_c 11.8392
_cell_angle_alpha 90.00
_cell_angle_beta 90.00
_cell_angle_gamma 90.00
loop_
_space_group_symop_operation_xyz
'x,y,z'
loop_
_atom_site_label
_atom_site_fract_x
_atom_site_fract_y
_atom_site_fract_z
Zr1 0.0000 0.2432 0.6728
Zr2 0.5000 0.7568 0.1728
Zr3 0.5000 0.7568 0.8272
Zr4 0.0000 0.2518 0.0000
Zr5 0.5000 0.7482 0.5000
Zr6 0.0000 0.2432 0.3272
Co1 0.0000 0.0002 0.8338
Co2 0.5000 0.9998 0.6662
Co3 0.5000 0.4128 0.8087
Co4 0.5000 0.5125 0.0000
Co5 0.0000 0.4875 0.5000
Co6 0.0000 0.5872 0.6913
Co7 0.0000 0.5872 0.3087
Co8 0.5000 0.0007 0.0000
Co9 0.0000 0.0002 0.1662
Co10 0.5000 0.4128 0.1913
Co11 0.0000 0.9993 0.5000
Co12 0.5000 0.9998 0.3338
Ge1 0.0000 0.5315 0.8818
Ge2 0.0000 0.8477 0.6650
Ge3 0.0000 0.8427 0.0000
Ge4 0.5000 0.4685 0.6182
Ge5 0.5000 0.1573 0.5000
Ge6 0.0000 0.5315 0.1182
Ge7 0.5000 0.4685 0.3818
Ge8 0.0000 0.8477 0.3350
Ge9 0.5000 0.1523 0.8350
Ge10 0.5000 0.1523 0.1650

No. 7
# ZrCoGe3 | Alexandria via LeMat-Bulk | PBE | relaxed
# ΔE_f in meV per atom: 1064
# Total DFT energy (no corrections) in eV per atom: -4.84
# Mass density in kg/m3: 4491
data_ZrCoGe3
_chemical_formula_sum 'Zr1 Co1 Ge3'
_space_group_name_H-M_alt 'P 1'
_space_group_IT_number 1
_cell_length_a 5.1439
_cell_length_b 5.1439
_cell_length_c 5.1439
_cell_angle_alpha 90.00
_cell_angle_beta 90.00
_cell_angle_gamma 90.00
loop_
_space_group_symop_operation_xyz
'x,y,z'
loop_
_atom_site_label
_atom_site_fract_x
_atom_site_fract_y
_atom_site_fract_z
Ge1 0.0000 0.5000 0.0000
Ge2 0.0000 0.0000 0.5000
Ge3 0.5000 0.0000 0.0000
Co1 0.5000 0.5000 0.5000
Zr1 0.0000 0.0000 0.0000

No. 8
# Zr3CoGe2 | Alexandria via LeMat-Bulk | PBE | relaxed
# ΔE_f in meV per atom: -705
# Total DFT energy (no corrections) in eV per atom: -7.70
# Mass density in kg/m3: 7129
data_Zr3CoGe2
_chemical_formula_sum 'Zr12 Co4 Ge8'
_space_group_name_H-M_alt 'P 1'
_space_group_IT_number 1
_cell_length_a 3.9268
_cell_length_b 10.5272
_cell_length_c 10.7706
_cell_angle_alpha 90.00
_cell_angle_beta 90.00
_cell_angle_gamma 90.00
loop_
_space_group_symop_operation_xyz
'x,y,z'
loop_
_atom_site_label
_atom_site_fract_x
_atom_site_fract_y
_atom_site_fract_z
Zr1 0.2500 0.3755 0.0509
Zr2 0.7500 0.6245 0.9491
Zr3 0.7500 0.8755 0.4491
Zr4 0.2500 0.1245 0.5509
Zr5 0.2500 0.6935 0.2158
Zr6 0.7500 0.3065 0.7842
Zr7 0.7500 0.1935 0.2842
Zr8 0.2500 0.8065 0.7158
Zr9 0.2500 0.4376 0.3793
Zr10 0.7500 0.5624 0.6207
Zr11 0.7500 0.9376 0.1207
Zr12 0.2500 0.0624 0.8793
Co1 0.2500 0.1388 0.1342
Co2 0.7500 0.8612 0.8658
Co3 0.7500 0.6388 0.3658
Co4 0.2500 0.3612 0.6342
Ge1 0.2500 0.6887 0.4835
Ge2 0.7500 0.3113 0.5165
Ge3 0.7500 0.1887 0.0165
Ge4 0.2500 0.8113 0.9835
Ge5 0.2500 0.9947 0.3091
Ge6 0.7500 0.0053 0.6909
Ge7 0.7500 0.4947 0.1909
Ge8 0.2500 0.5053 0.8091

No. 9
# Zr2Co3Ge4 | Alexandria via LeMat-Bulk | PBE | relaxed
# ΔE_f in meV per atom: -550
# Total DFT energy (no corrections) in eV per atom: -6.87
# Mass density in kg/m3: 8120
data_Zr2Co3Ge4
_chemical_formula_sum 'Zr4 Co6 Ge8'
_space_group_name_H-M_alt 'P 1'
_space_group_IT_number 1
_cell_length_a 5.3987
_cell_length_b 7.0363
_cell_length_c 7.4990
_cell_angle_alpha 90.00
_cell_angle_beta 111.10
_cell_angle_gamma 90.00
loop_
_space_group_symop_operation_xyz
'x,y,z'
loop_
_atom_site_label
_atom_site_fract_x
_atom_site_fract_y
_atom_site_fract_z
Zr1 0.1086 0.5953 0.2171
Zr2 0.8914 0.4047 0.7829
Zr3 0.3914 0.0953 0.7829
Zr4 0.6086 0.9047 0.2171
Co1 0.0000 0.0000 0.0000
Co2 0.5000 0.5000 0.0000
Co3 0.5235 0.7500 0.5470
Co4 0.9765 0.2500 0.4530
Co5 0.4765 0.2500 0.4530
Co6 0.0235 0.7500 0.5470
Ge1 0.6933 0.7500 0.8866
Ge2 0.8067 0.2500 0.1134
Ge3 0.3067 0.2500 0.1134
Ge4 0.1933 0.7500 0.8866
Ge5 0.1834 0.9719 0.3667
Ge6 0.8166 0.0281 0.6333
Ge7 0.3166 0.4719 0.6333
Ge8 0.6834 0.5281 0.3667

No. 10
# ZrCo3Ge3 | Alexandria via LeMat-Bulk | PBE | relaxed
# ΔE_f in meV per atom: -182
# Total DFT energy (no corrections) in eV per atom: -6.43
# Mass density in kg/m3: 6940
# Offset from the most stable computed form in eV per formula unit: 0.000
data_ZrCo3Ge3
_chemical_formula_sum 'Zr2 Co6 Ge6'
_space_group_name_H-M_alt 'P 1'
_space_group_IT_number 1
_cell_length_a 4.0010
_cell_length_b 8.1924
_cell_length_c 8.1924
_cell_angle_alpha 120.00
_cell_angle_beta 90.00
_cell_angle_gamma 90.00
loop_
_space_group_symop_operation_xyz
'x,y,z'
loop_
_atom_site_label
_atom_site_fract_x
_atom_site_fract_y
_atom_site_fract_z
Zr1 0.2500 0.6667 0.3333
Zr2 0.7500 0.3333 0.6667
Co1 0.7500 0.4358 0.0538
Co2 0.7500 0.6180 0.5642
Co3 0.2500 0.0538 0.6180
Co4 0.7500 0.9462 0.3820
Co5 0.2500 0.3820 0.4358
Co6 0.2500 0.5642 0.9462
Ge1 0.7500 0.3411 0.2733
Ge2 0.7500 0.9322 0.6589
Ge3 0.2500 0.2733 0.9322
Ge4 0.7500 0.7267 0.0678
Ge5 0.2500 0.0678 0.3411
Ge6 0.2500 0.6589 0.7267

No. 11
# Zr2Co2Ge | Alexandria via LeMat-Bulk | PBE | relaxed
# ΔE_f in meV per atom: -516
# Total DFT energy (no corrections) in eV per atom: -7.70
# Mass density in kg/m3: 7784
# Offset from the most stable computed form in eV per formula unit: 0.000
data_Zr2Co2Ge
_chemical_formula_sum 'Zr4 Co4 Ge2'
_space_group_name_H-M_alt 'P 1'
_space_group_IT_number 1
_cell_length_a 5.0745
_cell_length_b 5.1685
_cell_length_c 7.1864
_cell_angle_alpha 102.43
_cell_angle_beta 90.00
_cell_angle_gamma 119.40
loop_
_space_group_symop_operation_xyz
'x,y,z'
loop_
_atom_site_label
_atom_site_fract_x
_atom_site_fract_y
_atom_site_fract_z
Zr1 0.5043 0.2983 0.1491
Zr2 0.2060 0.7017 0.3509
Zr3 0.4957 0.7017 0.8509
Zr4 0.7940 0.2983 0.6491
Co1 0.7253 0.7246 0.4965
Co2 0.0007 0.2754 0.0035
Co3 0.2747 0.2754 0.5035
Co4 0.9993 0.7246 0.9965
Ge1 0.8408 0.0000 0.2500
Ge2 0.1592 0.0000 0.7500

No. 12
# ZrCo4Ge | Alexandria via LeMat-Bulk | PBE | relaxed
# ΔE_f in meV per atom: -177
# Total DFT energy (no corrections) in eV per atom: -7.11
# Mass density in kg/m3: 8519
# Offset from the most stable computed form in eV per formula unit: 0.000
data_ZrCo4Ge
_chemical_formula_sum 'Zr1 Co4 Ge1'
_space_group_name_H-M_alt 'P 1'
_space_group_IT_number 1
_cell_length_a 4.7936
_cell_length_b 4.7936
_cell_length_c 4.7936
_cell_angle_alpha 60.00
_cell_angle_beta 60.00
_cell_angle_gamma 60.00
loop_
_space_group_symop_operation_xyz
'x,y,z'
loop_
_atom_site_label
_atom_site_fract_x
_atom_site_fract_y
_atom_site_fract_z
Ge1 0.2500 0.2500 0.2500
Co1 0.6244 0.6244 0.1269
Co2 0.6244 0.1269 0.6244
Co3 0.6244 0.6244 0.6244
Co4 0.1269 0.6244 0.6244
Zr1 0.0000 0.0000 0.0000